No. 1
A geometry-optimized Pm2Sm3Ga4 structure. Source: Alexandria via LeMat-Bulk, functional PBE.

Structure (extended XYZ):
```
9
Lattice="-3.376 0.137 -3.160 3.516 -4.450 -0.563 -5.507 -6.039 5.623" Properties=species:S:1:pos:R:3 pbc="T T T"
Sm -3.403 -3.426 0.101
Sm -1.965 -6.927 1.800
Sm 0.000 0.000 0.000
Pm -0.041 -4.255 -0.141
Pm -5.327 -6.098 2.042
Ga -1.429 -2.088 -1.949
Ga -3.938 -8.265 3.850
Ga -3.061 -4.292 3.085
Ga -2.306 -6.061 -1.184
```

Space-group type: C2/m, No. 12
Energy relative to the lowest polymorph listed for this composition: 8.69 kJ per mole of atoms
Energy of formation from the pure elements: -448 meV/atom

No. 2
A geometry-optimized NaNdTeAu structure. Source: Alexandria via LeMat-Bulk, functional PBE.

Structure (extended XYZ):
```
4
Lattice="5.301 0.000 0.000 2.650 4.590 0.000 2.650 1.530 4.328" Properties=species:S:1:pos:R:3 pbc="T T T"
Na 5.301 3.060 2.164
Te 2.650 1.530 1.082
Nd 0.000 0.000 0.000
Au 7.951 4.590 3.246
```

Space-group type: F-43m, No. 216
Formation energy without anion corrections: -0.761 eV/atom

No. 3
A geometry-optimized Ca2MgPb structure. Source: Alexandria via LeMat-Bulk, functional PBE.

Structure (extended XYZ):
```
4
Lattice="3.748 0.020 0.000 -0.019 3.748 0.000 0.000 0.000 9.128" Properties=species:S:1:pos:R:3 pbc="T T T"
Ca 0.000 0.000 8.773
Ca 1.864 1.884 2.627
Pb 1.864 1.884 6.578
Mg 0.000 0.000 4.842
```

Space-group type: P4mm, No. 99
Energy of formation from the pure elements: -194 meV/atom

No. 4
A geometry-optimized K3Y3NpS8 structure. Source: Alexandria via LeMat-Bulk, functional PBE.

Structure (extended XYZ):
```
15
Lattice="8.066 0.000 0.000 -4.033 6.986 -0.027 0.000 -4.630 7.498" Properties=species:S:1:pos:R:3 pbc="T T T"
S 4.033 0.019 5.240
S 0.000 -0.024 5.201
S 6.087 -1.178 2.284
S 1.979 -1.178 2.284
S 4.033 2.380 2.270
S 0.000 2.336 2.231
S 2.054 3.534 5.187
S -2.054 3.534 5.187
Y -2.016 1.178 3.735
Y 2.017 1.178 3.735
Y 4.033 -2.315 3.749
Np 0.000 -2.315 3.749
K 2.017 3.493 -0.014
K 0.000 0.000 0.000
K -2.017 3.493 -0.014
```

Space-group type: R-3m, No. 166
Formation energy without anion corrections: -1.770 eV/atom

No. 5
A geometry-optimized CaMn2P structure. Source: Alexandria via LeMat-Bulk, functional PBE.

Structure (extended XYZ):
```
4
Lattice="-2.932 4.607 0.661 -1.586 1.447 5.065 4.394 -1.239 -3.069" Properties=species:S:1:pos:R:3 pbc="T T T"
Mn -0.005 0.007 0.007
Mn -0.101 2.799 -0.149
Ca 0.123 1.821 2.622
P -2.399 3.215 3.041
```

Space-group type: Imm2, No. 44
Energy of formation from the pure elements: 77 meV/atom

No. 6
A geometry-optimized TiSnN3 structure. Source: Alexandria via LeMat-Bulk, functional PBE.

Structure (extended XYZ):
```
5
Lattice="-1.195 -1.410 3.539 -3.397 -1.284 -1.658 1.724 -3.507 -0.815" Properties=species:S:1:pos:R:3 pbc="T T T"
Ti 0.000 0.000 0.000
N -0.597 -0.705 1.769
N -1.698 -0.642 -0.829
N 0.862 -1.753 -0.408
Sn -1.434 -3.100 0.533
```

Space-group type: Pm-3m, No. 221
Formation energy without anion corrections: 0.445 eV/atom

No. 7
A geometry-optimized LiReI2N structure. Source: Alexandria via LeMat-Bulk, functional PBE.

Structure (extended XYZ):
```
5
Lattice="5.662 0.000 0.000 0.000 5.662 0.000 0.000 0.000 3.795" Properties=species:S:1:pos:R:3 pbc="T T T"
I 0.000 2.831 0.000
I 2.831 0.000 0.000
Re 0.000 0.000 0.000
N 0.000 0.000 1.898
Li 2.831 2.831 1.898
```

Space-group type: P4/mmm, No. 123
Energy relative to the lowest polymorph listed for this composition: 0.00 kJ per mole of atoms
Formation energy without anion corrections: 0.078 eV/atom

No. 8
A geometry-optimized BeInW2 structure. Source: Alexandria via LeMat-Bulk, functional PBE.

Structure (extended XYZ):
```
4
Lattice="4.362 0.000 0.000 0.000 3.818 0.000 0.000 0.000 3.818" Properties=species:S:1:pos:R:3 pbc="T T T"
W 0.000 1.909 1.909
W 0.000 0.000 0.000
Be 2.181 1.909 0.000
In 2.181 0.000 1.909
```

Space-group type: P4/mmm, No. 123
Energy relative to the lowest polymorph listed for this composition: 23.17 kJ per mole of atoms
Energy of formation from the pure elements: 589 meV/atom

no.,calculated total energy (eV per atom)
1,-4.423
2,-3.887
3,-2.521
4,-6.347
5,-6.361
6,-6.930
7,-5.080
8,-7.504